Density functional theory data (GGA+U) for a geometry-optimized CoSeO5 structure.

The structure in POSCAR format:
```
CoSeO5
1.0
8.705 0.000 0.000
0.000 7.145 0.182
0.000 6.324 7.043
O Se Co
20 4 4
Cartesian
0.844 5.824 1.882 O
6.025 11.321 5.441 O
5.197 4.483 1.821 O
2.827 6.966 3.599 O
0.555 1.380 0.390 O
2.886 6.256 0.725 O
7.032 8.159 1.919 O
7.860 7.645 5.343 O
1.526 10.128 7.121 O
7.239 4.051 2.979 O
7.179 3.341 0.104 O
5.818 7.213 6.500 O
2.679 2.148 1.784 O
3.798 4.542 3.911 O
4.907 8.927 3.314 O
1.673 5.309 5.306 O
1.466 9.418 4.246 O
5.878 6.503 3.626 O
3.508 8.986 5.404 O
8.150 12.089 6.835 O
7.628 10.738 5.861 Se
1.077 2.731 1.364 Se
5.429 7.576 2.339 Se
3.276 5.893 4.886 Se
3.006 8.933 3.784 Co
5.698 4.536 3.441 Co
1.346 5.771 0.263 Co
7.359 7.698 6.962 Co
```

Properties
Calculated total energy (Ha/atom): -0.18528
Symmetry: P2_1/c, No. 14
Spin magnetization (μB/cell): 19.9